Entry 1:
# Zr2InTePt | Alexandria | GGA-PBEsol | relaxed
data_Zr2InTePt
_chemical_formula_sum 'Zr2 In1 Te1 Pt1'
_cell_length_a 5.2050
_cell_length_b 5.2050
_cell_length_c 5.2196
_cell_angle_alpha 90.00
_cell_angle_beta 90.00
_cell_angle_gamma 90.00
_symmetry_space_group_name_H-M 'P 4/m m m'
_symmetry_Int_Tables_number 123
_symmetry_space_group_name_Hall '-P 4 2'
loop_
_atom_site_label
_atom_site_fract_x
_atom_site_fract_y
_atom_site_fract_z
Zr1 0.0000 0.5000 0.0000
In1 0.0000 0.0000 0.0000
Te1 0.0000 0.0000 0.5000
Pt1 0.5000 0.5000 0.5000
# Formation energy without anion corrections, eV/atom: 1.33


Entry 2:
# TlIn2Pt | Alexandria | GGA-PBEsol | relaxed
data_TlIn2Pt
_chemical_formula_sum 'Tl1 In2 Pt1'
_cell_length_a 3.0182
_cell_length_b 3.4311
_cell_length_c 8.6913
_cell_angle_alpha 90.00
_cell_angle_beta 90.38
_cell_angle_gamma 90.00
_symmetry_space_group_name_H-M 'P 1 2/m 1'
_symmetry_Int_Tables_number 10
loop_
_symmetry_equiv_pos_as_xyz
'x,y,z'
'-x,-y,-z'
'-x,y,-z'
'x,-y,z'
loop_
_atom_site_label
_atom_site_fract_x
_atom_site_fract_y
_atom_site_fract_z
Tl1 0.0000 0.0000 0.0000
In1 0.0035 0.5000 0.6933
Pt1 0.5000 0.0000 0.5000
# Formation enthalpy at 0 K, eV per atom: -0.18


| no. | energy (eV/cell) |
| --- | --- |
| 1 | -25.0 |
| 2 | -16.3 |